Entry 1:
# PBE-GGA Ca3ZnN, relaxed
data_Ca3ZnN
_chemical_formula_sum 'Ca3 Zn1 N1'
_space_group_name_H-M_alt 'P m -3 m'
_space_group_IT_number 221
_space_group_name_Hall '-P 4 2 3'
_cell_length_a 4.899
_cell_length_b 4.899
_cell_length_c 4.899
_cell_angle_alpha 90.00
_cell_angle_beta 90.00
_cell_angle_gamma 90.00
loop_
_atom_site_label
_atom_site_type_symbol
_atom_site_fract_x
_atom_site_fract_y
_atom_site_fract_z
Ca1 Ca 0.000 0.000 0.500
Zn1 Zn 0.500 0.500 0.500
N1 N 0.000 0.000 0.000
# - Total magnetic moment: 0.00 μB per atom
# - Mass density: 2.8 g cm⁻³
# - Relative energy among the computed polymorphs: 0.000 eV/atom
# - DFT total energy: -3.632 eV/atom
# - Crystal system: cubic

***

Entry 2:
# PBE-GGA TaCu2I8, relaxed
data_TaCu2I8
_chemical_formula_sum 'Ta2 Cu4 I16'
_space_group_name_H-M_alt 'C 1 2/m 1'
_space_group_IT_number 12
_cell_length_a 11.062
_cell_length_b 12.346
_cell_length_c 6.598
_cell_angle_alpha 90.00
_cell_angle_beta 93.92
_cell_angle_gamma 90.00
loop_
_space_group_symop_operation_xyz
'x,y,z'
'-x,-y,-z'
'-x,y,-z'
'x,-y,z'
'x+1/2,y+1/2,z'
'-x+1/2,-y+1/2,-z'
'-x+1/2,y+1/2,-z'
'x+1/2,-y+1/2,z'
loop_
_atom_site_label
_atom_site_type_symbol
_atom_site_fract_x
_atom_site_fract_y
_atom_site_fract_z
Ta1 Ta 0.000 0.000 0.000
Cu1 Cu 0.226 0.000 0.685
I1 I 0.043 0.500 0.254
I2 I 0.105 0.168 0.783
I3 I 0.200 0.000 0.271
# - Total magnetic moment: 0.00 μB per atom
# - Mass density: 4.9 g cm⁻³
# - DFT total energy: -3.197 eV/atom
# - Crystal system: monoclinic

***

Entry 3:
# PBE-GGA Tl2NCl, relaxed
data_Tl2NCl
_chemical_formula_sum 'Tl8 N4 Cl4'
_space_group_name_H-M_alt 'I -4 2 d'
_space_group_IT_number 122
_space_group_name_Hall 'I -4 2bw'
_cell_length_a 6.548
_cell_length_b 6.548
_cell_length_c 10.674
_cell_angle_alpha 90.00
_cell_angle_beta 90.00
_cell_angle_gamma 90.00
loop_
_atom_site_label
_atom_site_type_symbol
_atom_site_fract_x
_atom_site_fract_y
_atom_site_fract_z
Tl1 Tl 0.158 0.250 0.125
N1 N 0.000 0.000 0.000
Cl1 Cl 0.000 0.000 0.500
# - Total magnetic moment: 0.00 μB per atom
# - Mass density: 6.6 g cm⁻³
# - Relative energy among the computed polymorphs: 0.045 eV/atom
# - DFT total energy: -3.458 eV/atom
# - Crystal system: tetragonal

***

Entry 4:
# PBE-GGA Tb12Ni6N, relaxed
data_Tb12Ni6N
_chemical_formula_sum 'Tb36 Ni18 N3'
_space_group_name_H-M_alt 'R -3'
_space_group_IT_number 148
_space_group_name_Hall '-R 3'
_cell_length_a 11.6563
_cell_length_b 11.6563
_cell_length_c 11.7693
_cell_angle_alpha 90.00
_cell_angle_beta 90.00
_cell_angle_gamma 120.00
loop_
_atom_site_label
_atom_site_type_symbol
_atom_site_fract_x
_atom_site_fract_y
_atom_site_fract_z
Tb1 Tb 0.0200 0.2056 0.3903
Tb2 Tb 0.0318 0.1892 0.8830
Ni1 Ni 0.0461 0.2731 0.6527
N1 N 0.0000 0.0000 0.0000
# - Total magnetic moment: 0.00 μB per atom
# - Mass density: 8.2 g cm⁻³
# - DFT total energy: -5.521 eV/atom
# - Crystal system: trigonal

***

Entry 5:
# PBE-GGA PuTeBrO6, relaxed
data_PuTeBrO6
_chemical_formula_sum 'Pu4 Te4 Br4 O24'
_space_group_name_H-M_alt 'I m m a'
_space_group_IT_number 74
_space_group_name_Hall '-I 2b 2'
_cell_length_a 7.266
_cell_length_b 7.935
_cell_length_c 10.850
_cell_angle_alpha 90.00
_cell_angle_beta 90.00
_cell_angle_gamma 90.00
loop_
_atom_site_label
_atom_site_type_symbol
_atom_site_fract_x
_atom_site_fract_y
_atom_site_fract_z
Pu1 Pu 0.000 0.000 0.000
Te1 Te 0.250 0.250 0.250
Br1 Br 0.000 0.250 0.671
O1 O 0.000 0.250 0.318
O2 O 0.000 0.250 0.946
O3 O 0.193 0.074 0.128
# - Total magnetic moment: 0.31 μB per atom
# - Mass density: 5.8 g cm⁻³
# - DFT total energy: -6.720 eV/atom
# - Crystal system: orthorhombic

***

Entry 6:
# PBE-GGA Y2TlCo2, relaxed
data_Y2TlCo2
_chemical_formula_sum 'Y4 Tl2 Co4'
_space_group_name_H-M_alt 'I 4/m m m'
_space_group_IT_number 139
_space_group_name_Hall '-I 4 2'
_cell_length_a 3.436
_cell_length_b 3.436
_cell_length_c 18.282
_cell_angle_alpha 90.00
_cell_angle_beta 90.00
_cell_angle_gamma 90.00
loop_
_atom_site_label
_atom_site_type_symbol
_atom_site_fract_x
_atom_site_fract_y
_atom_site_fract_z
Y1 Y 0.000 0.000 0.125
Tl1 Tl 0.000 0.000 0.500
Co1 Co 0.000 0.500 0.250
# - Total magnetic moment: 0.48 μB per atom
# - Mass density: 7.7 g cm⁻³
# - DFT total energy: -5.951 eV/atom
# - ΔE_f: -0.05 eV/atom
# - Crystal system: tetragonal

***

Question: The highest mass density belongs to which entry?
Answer: Tb12Ni6N

***

Copy entry 4 word for word.
# PBE-GGA Tb12Ni6N, relaxed
data_Tb12Ni6N
_chemical_formula_sum 'Tb36 Ni18 N3'
_space_group_name_H-M_alt 'R -3'
_space_group_IT_number 148
_space_group_name_Hall '-R 3'
_cell_length_a 11.6563
_cell_length_b 11.6563
_cell_length_c 11.7693
_cell_angle_alpha 90.00
_cell_angle_beta 90.00
_cell_angle_gamma 120.00
loop_
_atom_site_label
_atom_site_type_symbol
_atom_site_fract_x
_atom_site_fract_y
_atom_site_fract_z
Tb1 Tb 0.0200 0.2056 0.3903
Tb2 Tb 0.0318 0.1892 0.8830
Ni1 Ni 0.0461 0.2731 0.6527
N1 N 0.0000 0.0000 0.0000
# - Total magnetic moment: 0.00 μB per atom
# - Mass density: 8.2 g cm⁻³
# - DFT total energy: -5.521 eV/atom
# - Crystal system: trigonal